Entry 1:
Material: Zr3PBr
Method: DFT, GGA-PBEsol
State: relaxed

Unit cell a=4.8913 b=4.8913 c=4.8913 alpha=90.00 beta=90.00 gamma=90.00
Sites, in units of the cell vectors:
Zr 0.5000 0.0000 0.0000
Zr 0.0000 0.5000 0.0000
Zr 0.0000 0.0000 0.5000
P 0.0000 0.0000 0.0000
Br 0.5000 0.5000 0.5000

Results
V   23.4 Å³/atom
Raw formation energy   -0.196 eV/f.u.
Total moment   0.0002 μB/atom
Symmetry   Pm-3m (221)
Electronic total energy   -7.025 eV/atom

Entry 2:
Material: Tl2HgPb
Method: DFT, GGA-PBEsol
State: relaxed

Unit cell a=3.3346 b=5.2574 c=6.4090 alpha=90.00 beta=102.93 gamma=90.00
Sites, in units of the cell vectors:
Tl 0.6773 0.0000 0.7604
Tl 0.3227 0.0000 0.2396
Hg 0.5000 0.5000 0.0000
Pb 0.0000 0.5000 0.5000

Results
V   27.4 Å³/atom
Total moment   0.0000 μB/atom
DFT formation energy   0.003 eV per atom
Symmetry   P2/m (10)
Electronic total energy   -2.453 eV/atom

Entry 3:
Material: GdNbO4
Method: DFT, GGA-PBEsol
State: relaxed

Unit cell a=5.1076 b=5.3555 c=6.5666 alpha=112.01 beta=110.75 gamma=94.88
Site moments in Bohr magnetons follow the coordinates.
Sites, in units of the cell vectors:
Nb 0.1459 0.8959 0.7917  0.01
Nb 0.8541 0.1041 0.2083  0.01
O 0.2867 0.9467 0.5786  0.00
O 0.4316 0.7245 0.9384  0.00
O 0.9933 0.7862 0.0616  0.00
O 0.5684 0.2755 0.0616  0.00
O 0.2081 0.3681 0.4214  0.00
O 0.7919 0.6319 0.5786  0.00
O 0.0067 0.2138 0.9384  0.00
O 0.7133 0.0533 0.4214  0.00
Gd 0.3796 0.6296 0.2591  6.89
Gd 0.6204 0.3704 0.7409  6.89

Results
V   12.6 Å³/atom
Raw formation energy   -18.507 eV/f.u.
Total moment   1.1632 μB/atom
Symmetry   C2/c (15)
Electronic total energy   -10.796 eV/atom

Entry 4:
Material: CaTlCd2
Method: DFT, GGA-PBEsol
State: relaxed

Unit cell a=5.1150 b=5.1150 c=5.1150 alpha=90.03 beta=119.98 gamma=119.98
Sites, in units of the cell vectors:
Tl 0.0000 0.5000 0.5000
Ca 0.5000 0.7500 0.2500
Cd 0.5000 0.2500 0.7500
Cd 0.0000 0.0000 0.0000

Results
V   23.7 Å³/atom
Total moment   0.0000 μB/atom
DFT formation energy   -0.264 eV per atom
Energy above the most stable polymorph in this dataset   0 meV/atom
Symmetry   F-43m (216)
Electronic total energy   -2.053 eV/atom

The highest total moment belongs to which entry? GdNbO4